Entry 1:
The following is a DFT calculation (PBE) of Tl2IrO5 after structural relaxation.

Cell and atoms, written as POSCAR:
```
Tl2IrO5
1.0
-5.214 3.033 2.013
-0.848 0.022 -6.302
1.104 -4.988 2.390
O Tl Ir
5 2 1
direct
0.795 0.189 0.984
0.189 0.795 0.984
0.762 0.762 0.524
0.298 0.298 0.211
0.913 0.913 0.211
0.666 0.167 0.333
0.166 0.666 0.333
0.987 0.987 0.973
```

Calculated values
DOS(E_F), states/eV per cell: 3.32
E, eV/cell: -43.2
Formation energy from raw total energies, eV per atom: -0.601
Space group: No. 8

---

Entry 2:
The following is a DFT calculation (PBE) of TlIrO5 after structural relaxation.

Cell and atoms, written as POSCAR:
```
TlIrO5
1.0
4.987 0.876 -1.055
1.402 4.866 -1.055
-2.102 -1.889 12.144
Tl O Ir
2 10 2
direct
0.000 0.000 0.500
0.000 0.000 0.000
0.239 0.086 0.400
0.754 0.935 0.805
0.935 0.754 0.305
0.246 0.065 0.195
0.489 0.511 0.750
0.065 0.246 0.695
0.761 0.914 0.600
0.086 0.239 0.900
0.511 0.489 0.250
0.914 0.761 0.100
0.190 0.810 0.250
0.810 0.190 0.750
```

Calculated values
E, eV/cell: -77.7
Formation energy from raw total energies, eV per atom: -0.402
Space group: No. 15

---

Entry 3:
The following is a DFT calculation (PBE) of Tl3IrO6 after structural relaxation.

Cell and atoms, written as POSCAR:
```
Tl3IrO6
1.0
5.973 0.000 0.000
0.000 7.666 -0.034
0.000 -1.743 7.465
Tl O Ir
6 12 2
direct
0.942 0.109 0.314
0.394 0.409 0.591
0.442 0.891 0.686
0.442 0.314 0.109
0.894 0.591 0.409
0.942 0.686 0.891
0.714 0.876 0.398
0.728 0.197 0.803
0.654 0.641 0.669
0.154 0.669 0.641
0.214 0.124 0.602
0.228 0.803 0.197
0.720 0.930 0.070
0.154 0.359 0.331
0.214 0.398 0.876
0.654 0.331 0.359
0.220 0.070 0.930
0.714 0.602 0.124
0.025 0.193 0.807
0.525 0.807 0.193
```

Calculated values
DOS(E_F), states/eV per cell: 1.79
E, eV/cell: -102.4
Formation energy from raw total energies, eV per atom: -0.551
Space group: No. 36

---

Entry 4:
The following is a DFT calculation (PBE) of TlIrO2 after structural relaxation.

Cell and atoms, written as POSCAR:
```
TlIrO2
1.0
-4.400 -1.835 -1.972
1.806 -4.812 0.450
-3.449 -3.654 4.346
O Tl Ir
4 2 2
direct
0.488 0.125 0.250
0.262 0.625 0.250
0.375 0.512 0.750
0.875 0.738 0.750
0.000 0.000 0.000
0.750 0.250 0.500
0.250 0.750 0.500
0.500 0.500 0.000
```

Calculated values
DOS(E_F), states/eV per cell: 3.55
E, eV/cell: -43.5
Formation energy from raw total energies, eV per atom: -0.149
Space group: No. 122

---

Entry 5:
The following is a DFT calculation (PBE) of TlIrO3 after structural relaxation.

Cell and atoms, written as POSCAR:
```
TlIrO3
1.0
-0.788 2.883 2.617
-3.808 -1.127 0.094
0.811 -2.490 2.988
O Ir Tl
3 1 1
direct
0.000 0.500 0.000
0.000 0.000 0.500
0.500 0.000 0.000
0.000 0.000 0.000
0.500 0.500 0.500
```

Calculated values
DOS(E_F), states/eV per cell: 3.71
E, eV/cell: -28.4
Formation energy from raw total energies, eV per atom: -0.454
Space group: No. 221

---

Entry 6:
The following is a DFT calculation (PBE) of TlIrO3 after structural relaxation.

Cell and atoms, written as POSCAR:
```
TlIrO3
1.0
4.185 0.000 0.000
0.000 4.185 0.000
0.000 0.000 4.185
O Ir Tl
3 1 1
direct
0.000 0.500 0.000
0.000 0.000 0.500
0.500 0.000 0.000
0.500 0.500 0.500
0.000 0.000 0.000
```

Calculated values
DOS(E_F), states/eV per cell: 5.51
E, eV/cell: -20.7
Formation energy from raw total energies, eV per atom: 1.085
Space group: No. 221

---

Entry 7:
The following is a DFT calculation (PBE) of TlIrO2 after structural relaxation.

Cell and atoms, written as POSCAR:
```
TlIrO2
1.0
0.031 -7.047 1.254
-0.186 -6.881 -1.960
2.688 -6.613 -0.522
O Ir Tl
2 1 1
direct
0.876 0.876 0.876
0.124 0.124 0.124
0.500 0.500 0.500
0.000 0.000 0.000
```

Calculated values
DOS(E_F), states/eV per cell: 2.60
E, eV/cell: -23.1
Formation energy from raw total energies, eV per atom: -0.496
Space group: No. 166

---

Entry 8:
The following is a DFT calculation (PBE) of Tl3IrO after structural relaxation.

Cell and atoms, written as POSCAR:
```
Tl3IrO
1.0
-4.101 0.550 2.419
1.872 -2.379 3.716
1.627 4.125 1.820
O Tl Ir
1 3 1
direct
0.000 0.000 0.000
0.500 0.000 0.000
0.000 0.000 0.500
0.000 0.500 0.000
0.500 0.500 0.500
```

Calculated values
DOS(E_F), states/eV per cell: 2.78
E, eV/cell: -18.4
Formation energy from raw total energies, eV per atom: 0.509
Space group: No. 221

---

Entry 9:
The following is a DFT calculation (PBE) of TlIr2O6 after structural relaxation.

Cell and atoms, written as POSCAR:
```
TlIr2O6
1.0
-0.771 -5.150 -1.736
4.180 -1.619 2.945
-4.927 0.023 2.121
O Tl Ir
6 1 2
direct
0.691 0.389 0.000
0.309 0.611 0.000
0.691 0.611 0.611
0.309 0.389 0.389
0.691 0.000 0.389
0.309 0.000 0.611
0.000 0.000 0.000
0.500 0.333 0.667
0.500 0.667 0.333
```

Calculated values
DOS(E_F), states/eV per cell: 5.04
E, eV/cell: -56.1
Formation energy from raw total energies, eV per atom: -0.701
Space group: No. 162

---

Entry 10:
The following is a DFT calculation (PBE) of TlIrO after structural relaxation.

Cell and atoms, written as POSCAR:
```
TlIrO
1.0
-0.250 5.440 1.583
-0.130 -1.047 3.575
11.626 -1.322 0.034
O Tl Ir
4 4 4
direct
0.811 0.394 0.408
0.811 0.894 0.908
0.189 0.394 0.592
0.189 0.894 0.092
0.300 0.492 0.840
0.700 0.992 0.660
0.300 0.992 0.340
0.700 0.492 0.160
0.179 0.893 0.592
0.821 0.893 0.408
0.179 0.393 0.092
0.821 0.393 0.908
```

Calculated values
DOS(E_F), states/eV per cell: 8.94
E, eV/cell: -66.8
Formation energy from raw total energies, eV per atom: -0.171
Space group: No. 5

---

Entry 11:
The following is a DFT calculation (PBE) of TmTl2IrO8 after structural relaxation.

Cell and atoms, written as POSCAR:
```
TmTl2IrO8
1.0
-1.674 -4.788 0.388
4.542 -1.561 -1.554
2.092 -0.218 6.333
O Tl Ir Tm
8 2 1 1
direct
0.170 0.817 0.784
0.282 0.267 0.000
0.718 0.733 0.000
0.830 0.183 0.784
0.691 0.706 0.500
0.309 0.294 0.500
0.170 0.817 0.216
0.830 0.183 0.216
0.500 0.500 0.250
0.500 0.500 0.750
0.000 0.000 0.000
0.000 0.000 0.500
```

Calculated values
DOS(E_F), states/eV per cell: 5.72
E, eV/cell: -71.2
Formation energy from raw total energies, eV per atom: -1.124
Space group: No. 10

---

Entry 12:
The following is a DFT calculation (PBE) of UTl2Ir3O12 after structural relaxation.

Cell and atoms, written as POSCAR:
```
UTl2Ir3O12
1.0
7.549 0.211 0.150
3.911 6.460 0.150
3.911 2.277 6.047
O Tl Ir U
12 2 3 1
direct
0.082 0.685 0.685
0.333 0.930 0.930
0.918 0.315 0.315
0.930 0.333 0.930
0.667 0.070 0.070
0.315 0.918 0.315
0.685 0.685 0.082
0.070 0.070 0.667
0.070 0.667 0.070
0.315 0.315 0.918
0.685 0.082 0.685
0.930 0.930 0.333
0.401 0.401 0.401
0.599 0.599 0.599
0.000 0.000 0.500
0.000 0.500 0.000
0.500 0.000 0.000
0.000 0.000 0.000
```

Calculated values
DOS(E_F), states/eV per cell: 13.03
E, eV/cell: -124.2
Formation energy from raw total energies, eV per atom: -1.226
Space group: No. 166

---

Entry 13:
The following is a DFT calculation (PBE) of UTlIrO6 after structural relaxation.

Cell and atoms, written as POSCAR:
```
UTlIrO6
1.0
-2.552 0.138 -6.793
2.369 -7.455 -1.041
-4.663 1.904 5.668
O Tl Ir U
12 2 2 2
direct
0.577 0.305 0.751
0.174 0.947 0.751
0.174 0.305 0.751
0.423 0.053 0.249
0.423 0.695 0.249
0.826 0.695 0.249
0.419 0.669 0.839
0.798 0.048 0.596
0.577 0.947 0.751
0.826 0.053 0.249
0.202 0.952 0.404
0.581 0.331 0.161
0.850 0.600 0.700
0.150 0.400 0.300
0.000 0.000 0.500
0.500 0.000 0.500
0.500 0.000 0.000
0.500 0.500 0.000
```

Calculated values
DOS(E_F), states/eV per cell: 11.62
E, eV/cell: -136.0
Formation energy from raw total energies, eV per atom: -1.750
Space group: No. 74

---

Entry 14:
The following is a DFT calculation (PBE) of U3Tl2IrO12 after structural relaxation.

Cell and atoms, written as POSCAR:
```
U3Tl2IrO12
1.0
7.613 -0.168 -0.119
3.613 6.703 -0.119
3.613 2.103 6.365
O U Tl Ir
12 3 2 1
direct
0.701 0.057 0.057
0.943 0.299 0.943
0.049 0.681 0.681
0.951 0.319 0.319
0.057 0.701 0.057
0.319 0.319 0.951
0.681 0.049 0.681
0.299 0.943 0.943
0.057 0.057 0.701
0.681 0.681 0.049
0.943 0.943 0.299
0.319 0.951 0.319
0.000 0.500 0.000
0.000 0.000 0.500
0.500 0.000 0.000
0.662 0.662 0.662
0.338 0.338 0.338
0.000 0.000 0.000
```

Calculated values
DOS(E_F), states/eV per cell: 8.25
E, eV/cell: -148.2
Formation energy from raw total energies, eV per atom: -2.291
Space group: No. 166